No. 1
DFT (PBE-GGA) results for a geometry-optimized LiCa2In2Ag5 structure.

For the energy of formation, the calculation gives -0.17 eV per atom. Its crystal system is tetragonal.

It has space group P4/mbm (No. 127), with a = 10.793 Å, b = 10.793 Å, c = 3.920 Å, α = 90.00°, β = 90.00° and γ = 90.00°. The asymmetric unit holds Li at (0.000, 0.000, 0.000), Ca at (0.169, 0.331, 0.000), In at (0.133, 0.633, 0.000), Ag at (0.000, 0.500, 0.500) and Ag at (0.051, 0.815, 0.500).


No. 2
DFT (PBE-GGA) results for a geometry-optimized LiCa2In6Ag structure.

For the energy of formation, the calculation gives -0.20 eV per atom. Its crystal system is triclinic.

It has space group P-1 (No. 2), with a = 5.991 Å, b = 7.312 Å, c = 7.319 Å, α = 89.43°, β = 66.09° and γ = 66.18°. The asymmetric unit holds Li at (0.000, 0.000, 0.000), Ca at (0.242, 0.266, 0.252), In at (0.190, 0.810, 0.312), In at (0.246, 0.585, 0.922), In at (0.313, 0.185, 0.691) and Ag at (0.500, 0.500, 0.500).


No. 3
DFT (PBE-GGA) results for a geometry-optimized LiCa2InAg6 structure.

For the energy of formation, the calculation gives -0.17 eV per atom. Its crystal system is triclinic.

It has space group P-1 (No. 2), with a = 5.657 Å, b = 6.843 Å, c = 6.992 Å, α = 92.43°, β = 113.67° and γ = 113.40°. The asymmetric unit holds Li at (0.000, 0.000, 0.000), Ca at (0.243, 0.736, 0.754), In at (0.500, 0.500, 0.500), Ag at (0.186, 0.179, 0.688), Ag at (0.244, 0.431, 0.055) and Ag at (0.311, 0.824, 0.310).


No. 4
DFT (PBE-GGA) results for a geometry-optimized Li12Ca2InAg3 structure.

For the energy of formation, the calculation gives -0.06 eV per atom. Its crystal system is trigonal.

It has space group R-3m (No. 166, hexagonal axes), with a = 9.7653 Å, b = 9.7653 Å, c = 13.6438 Å, α = 90.00°, β = 90.00° and γ = 120.00°. The asymmetric unit holds Li at (0.0185, 0.5092, 0.2023), Li at (0.0463, 0.5232, 0.6018), Ca at (0.0000, 0.0000, 0.2571), In at (0.0000, 0.0000, 0.5000) and Ag at (0.0000, 0.5000, 0.0000).


No. 5
DFT (PBE-GGA) results for a geometry-optimized CaMgIn2Ag5 structure.

For the energy of formation, the calculation gives 0.02 eV per atom. Its crystal system is tetragonal.

It has space group P4/mmm (No. 123), with a = 4.765 Å, b = 4.765 Å, c = 9.165 Å, α = 90.00°, β = 90.00° and γ = 90.00°. The asymmetric unit holds Ca at (0.000, 0.000, 0.000), Mg at (0.000, 0.000, 0.500), In at (0.500, 0.500, 0.350), Ag at (0.000, 0.500, 0.203) and Ag at (0.500, 0.500, 0.000).


No. 6
DFT (PBE-GGA) results for a geometry-optimized CaMg2InAg4 structure.

For the energy of formation, the calculation gives -0.18 eV per atom. Its crystal system is trigonal.

It has space group R-3m (No. 166, hexagonal axes), with a = 4.8040 Å, b = 4.8040 Å, c = 25.2046 Å, α = 90.00°, β = 90.00° and γ = 120.00°. The asymmetric unit holds Ca at (0.0000, 0.0000, 0.0000), Mg at (0.0000, 0.0000, 0.2483), In at (0.0000, 0.0000, 0.5000), Ag at (0.0000, 0.0000, 0.1253) and Ag at (0.0000, 0.0000, 0.3860).


No. 7
DFT (PBE-GGA) results for a geometry-optimized Ca2Mg12InAg3 structure.

For the energy of formation, the calculation gives 0.06 eV per atom. Its crystal system is trigonal.

It has space group R-3m (No. 166, hexagonal axes), with a = 10.2639 Å, b = 10.2639 Å, c = 14.6395 Å, α = 90.00°, β = 90.00° and γ = 120.00°. The asymmetric unit holds Ca at (0.0000, 0.0000, 0.1198), Mg at (0.0093, 0.5046, 0.1923), Mg at (0.0415, 0.5207, 0.3953), In at (0.0000, 0.0000, 0.5000) and Ag at (0.0000, 0.5000, 0.0000).


No. 8
DFT (PBE-GGA) results for a geometry-optimized Ca2MgIn6Ag structure.

For the energy of formation, the calculation gives -0.11 eV per atom. Its crystal system is trigonal.

It has space group R-3m (No. 166, hexagonal axes), with a = 7.2711 Å, b = 7.2711 Å, c = 37.3736 Å, α = 90.00°, β = 90.00° and γ = 120.00°. The asymmetric unit holds Ca at (0.0000, 0.0000, 0.1047), Ca at (0.0000, 0.0000, 0.2804), Mg at (0.0000, 0.0000, 0.4265), In at (0.0510, 0.5255, 0.3009), In at (0.0650, 0.5325, 0.8657), Ag at (0.0000, 0.0000, 0.0000) and Ag at (0.0000, 0.0000, 0.5000).


No. 9
DFT (PBE-GGA) results for a geometry-optimized CaMg4In2Ag structure.

For the energy of formation, the calculation gives -0.16 eV per atom. Its crystal system is trigonal.

It has space group R-3m (No. 166, hexagonal axes), with a = 5.0043 Å, b = 5.0043 Å, c = 25.8200 Å, α = 90.00°, β = 90.00° and γ = 120.00°. The asymmetric unit holds Ca at (0.0000, 0.0000, 0.0000), Mg at (0.0000, 0.0000, 0.1333), Mg at (0.0000, 0.0000, 0.3934), In at (0.0000, 0.0000, 0.2601) and Ag at (0.0000, 0.0000, 0.5000).


No. 10
DFT (PBE-GGA) results for a geometry-optimized Ca2In6NiAg structure.

For the energy of formation, the calculation gives -0.05 eV per atom. Its crystal system is cubic.

It has space group Fm-3m (No. 225), with a = 10.365 Å, b = 10.365 Å, c = 10.365 Å, α = 90.00°, β = 90.00° and γ = 90.00°. The asymmetric unit holds Ca at (0.250, 0.250, 0.250), In at (0.000, 0.000, 0.240), Ni at (0.000, 0.000, 0.000) and Ag at (0.000, 0.000, 0.500).


No. 11
DFT (PBE-GGA) results for a geometry-optimized Ca2InAgO5 structure.

The calculation puts the energy relative to the elements, uncorrected at -1654 meV per atom. Its crystal system is orthorhombic.

It has space group Cmc2_1 (No. 36), with a = 3.356 Å, b = 13.155 Å, c = 11.398 Å, α = 90.00°, β = 90.00° and γ = 90.00°. The asymmetric unit holds Ca at (0.000, 0.076, 0.000), Ca at (0.000, 0.152, 0.607), In at (0.000, 0.233, 0.359), Ag at (0.000, 0.461, 0.778), O at (0.000, 0.078, 0.410), O at (0.000, 0.252, 0.994), O at (0.000, 0.303, 0.734), O at (0.000, 0.395, 0.346) and O at (0.000, 0.481, 0.107).


No. 12
DFT (PBE-GGA) results for a geometry-optimized CaInAg2Pb structure.

For the energy of formation, the calculation gives 0.19 eV per atom. Its crystal system is tetragonal.

It has space group P4/mmm (No. 123), with a = 5.200 Å, b = 5.200 Å, c = 5.758 Å, α = 90.00°, β = 90.00° and γ = 90.00°. The asymmetric unit holds Ca at (0.000, 0.000, 0.000), In at (0.500, 0.500, 0.500), Ag at (0.000, 0.500, 0.500) and Pb at (0.500, 0.500, 0.000).


no.,theoretical density (g/cm3)
1,6.23
2,5.57
3,6.38
4,2.66
5,6.65
6,6.28
7,3.02
8,5.25
9,4.22
10,5.58
11,5.05
12,6.16